Record 1
Compound: PuInHg
Source: the Alexandria database
Functional: PBE
Structure: relaxed

Computed properties:
energy of formation from the pure elements	-0.129	eV/atom
offset from the most stable computed form	0.17	eV/f.u.

Unit cell a=7.2082 b=7.2082 c=7.2082 alpha=153.38 beta=153.38 gamma=38.00
Fractional coordinates of all 3 atoms:
Pu 0.0000 0.0000 0.0000
In 0.6732 0.6732 0.0000
Hg 0.3341 0.3341 0.0000

=====

Record 2
Compound: Ti3Al
Source: the Alexandria database
Functional: PBE
Structure: relaxed

Computed properties:
energy of formation from the pure elements	-0.192	eV/atom

Unit cell a=2.9079 b=4.6562 c=4.9606 alpha=90.00 beta=90.00 gamma=90.00
Fractional coordinates of all 4 atoms:
Ti 0.0000 0.0000 0.0000
Ti 0.0000 0.5000 0.3608
Ti 0.5000 0.0000 0.5074
Al 0.5000 0.5000 0.8541

=====

Record 3
Compound: VCoNi2Pb
Source: the Alexandria database
Functional: PBE
Structure: relaxed

Computed properties:
energy of formation from the pure elements	0.697	eV/atom

Unit cell a=4.4743 b=4.4743 c=4.1178 alpha=90.00 beta=90.00 gamma=90.00
Fractional coordinates of all 5 atoms:
V 0.0000 0.0000 0.0000
Co 0.0000 0.0000 0.5000
Ni 0.0000 0.5000 0.5000
Ni 0.5000 0.0000 0.5000
Pb 0.5000 0.5000 0.0000